a:
Below is a relaxed AgH2Cl2 crystal, with properties calculated at the PBE-GGA level.

abc: 3.437 3.437 6.273
angles: 74.10 74.10 90.00
Fractional positions:
Ag: 0.000 0.000 0.000
Cl: 0.340 0.340 0.319
Cl: 0.660 0.660 0.681
H: 0.750 0.250 0.500
H: 0.250 0.750 0.500

Calculated values
The calculation puts the density of states at the Fermi level at 1.16 states/eV/cell.


b:
Below is a relaxed AgH2Cl2 crystal, with properties calculated at the PBE-GGA level.

abc: 7.901 7.901 3.262
angles: 90.00 90.00 90.00
Fractional positions:
Cl: 0.257 0.243 0.000
Ag: 0.500 0.500 0.000
Cl: 0.743 0.757 0.000
H: 0.742 0.758 0.500
Ag: 0.000 0.000 0.000
H: 0.242 0.742 0.500
H: 0.758 0.258 0.500
Cl: 0.243 0.743 0.000
Cl: 0.757 0.257 0.000
H: 0.258 0.242 0.500

Calculated values
The calculation puts the density of states at the Fermi level at 2.50 states/eV/cell.


c:
Below is a relaxed AgH2Cl2 crystal, with properties calculated at the PBE-GGA level.

abc: 7.744 5.911 7.187
angles: 87.59 90.00 130.92
Fractional positions:
Ag: 0.003 0.000 0.250
H: 0.568 0.925 0.776
H: 0.643 0.075 0.724
Cl: 0.813 0.624 0.013
Cl: 0.187 0.376 0.987
H: 0.432 0.075 0.224
Cl: 0.811 0.624 0.513
Ag: 0.997 0.000 0.750
Cl: 0.189 0.376 0.487
H: 0.357 0.925 0.276

Calculated values
The calculation puts the density of states at the Fermi level at 3.66 states/eV/cell.


Stability order, top to bottom: c, b, a


a:
Below is a relaxed AgHCl3 crystal, with properties calculated at the PBE-GGA level.

abc: 5.155 5.155 5.155
angles: 80.56 80.56 80.56
Fractional positions:
H: 0.954 0.954 0.954
Ag: 0.185 0.185 0.185
Cl: 0.149 0.687 0.149
Cl: 0.149 0.149 0.687
Cl: 0.687 0.149 0.149

Calculated values
The calculation puts the density of states at the Fermi level at 1.15 states/eV/cell.


b:
Below is a relaxed AgHCl3 crystal, with properties calculated at the PBE-GGA level.

abc: 4.417 18.286 17.022
angles: 23.92 90.00 90.00
Fractional positions:
Cl: 0.852 0.421 0.679
H: 0.819 0.574 0.570
Cl: 0.352 0.579 0.821
Cl: 0.928 0.950 0.602
H: 0.681 0.574 0.070
Cl: 0.572 0.950 0.102
Ag: 0.769 0.186 0.022
Cl: 0.428 0.050 0.898
Cl: 0.276 0.193 0.097
Ag: 0.731 0.186 0.522
H: 0.319 0.426 0.930
Ag: 0.231 0.814 0.978
Cl: 0.648 0.421 0.179
Cl: 0.148 0.579 0.321
Cl: 0.724 0.807 0.903
H: 0.181 0.426 0.430
Cl: 0.224 0.193 0.597
Cl: 0.776 0.807 0.403
Ag: 0.269 0.814 0.478
Cl: 0.072 0.050 0.398

Calculated values
The calculation puts the density of states at the Fermi level at 0.00 states/eV/cell.


Stability order, top to bottom: b, a


a:
Below is a relaxed AgHCl3 crystal, with properties calculated at the PBE-GGA level.

abc: 4.479 4.479 4.479
angles: 90.00 90.00 90.00
Fractional positions:
Cl: 0.000 0.000 0.500
Cl: 0.000 0.500 0.000
Ag: 0.500 0.500 0.500
Cl: 0.500 0.000 0.000
H: 0.000 0.000 0.000

Calculated values
The calculation puts the density of states at the Fermi level at 5.22 states/eV/cell.


b:
Below is a relaxed AgHCl3 crystal, with properties calculated at the PBE-GGA level.

abc: 4.987 4.987 4.987
angles: 90.00 90.00 90.00
Fractional positions:
Ag: 0.000 0.000 0.000
Cl: 0.000 0.000 0.500
H: 0.500 0.500 0.500
Cl: 0.000 0.500 0.000
Cl: 0.500 0.000 0.000

Calculated values
The calculation puts the density of states at the Fermi level at 10.73 states/eV/cell.


Stability order, top to bottom: b, a


a:
Below is a relaxed AgH2Cl crystal, with properties calculated at the PBE-GGA level.

abc: 4.844 4.844 5.706
angles: 64.89 64.89 90.00
Fractional positions:
H: 0.017 0.625 0.250
H: 0.875 0.983 0.750
Cl: 0.250 0.750 0.500
Cl: 0.500 0.500 0.000
H: 0.375 0.267 0.750
H: 0.733 0.125 0.250
Ag: 0.000 0.000 0.000
Ag: 0.750 0.250 0.500

Calculated values
The calculation puts the density of states at the Fermi level at 0.90 states/eV/cell.


b:
Below is a relaxed AgH2Cl crystal, with properties calculated at the PBE-GGA level.

abc: 7.511 3.456 6.546
angles: 127.56 125.01 90.00
Fractional positions:
Ag: 0.899 0.380 0.797
H: 0.284 0.823 0.567
H: 0.915 0.916 0.829
Cl: 0.403 0.381 0.806

Calculated values
The calculation puts the density of states at the Fermi level at 0.00 states/eV/cell.


Stability order, top to bottom: b, a


a:
Below is a relaxed Ag2HCl6 crystal, with properties calculated at the PBE-GGA level.

abc: 5.914 9.900 8.019
angles: 68.50 55.11 107.60
Fractional positions:
Cl: 0.332 0.575 0.366
Cl: 0.742 0.045 0.095
Cl: 0.558 0.325 0.218
Cl: 0.259 0.955 0.905
Cl: 0.668 0.425 0.634
Ag: 0.109 0.365 0.917
Ag: 0.891 0.635 0.083
H: 0.000 0.000 0.000
Cl: 0.442 0.675 0.782

Calculated values
The calculation puts the density of states at the Fermi level at 5.30 states/eV/cell.


b:
Below is a relaxed Ag2HCl6 crystal, with properties calculated at the PBE-GGA level.

abc: 7.245 9.094 9.104
angles: 105.05 86.77 86.79
Fractional positions:
Cl: 0.984 0.105 0.073
Ag: 0.918 0.715 0.526
Cl: 0.483 0.073 0.105
Cl: 0.517 0.927 0.895
Cl: 0.016 0.895 0.927
Cl: 0.867 0.872 0.352
Ag: 0.582 0.474 0.285
Ag: 0.418 0.526 0.715
Cl: 0.431 0.303 0.407
Cl: 0.569 0.697 0.593
Cl: 0.069 0.593 0.697
Ag: 0.082 0.285 0.474
Cl: 0.367 0.352 0.872
Cl: 0.931 0.407 0.303
Cl: 0.133 0.128 0.648
H: 0.750 0.761 0.239
H: 0.250 0.239 0.761
Cl: 0.633 0.648 0.128

Calculated values
The calculation puts the density of states at the Fermi level at 10.18 states/eV/cell.


Stability order, top to bottom: a, b


a:
Below is a relaxed AgHCl crystal, with properties calculated at the PBE-GGA level.

abc: 6.272 6.272 6.449
angles: 60.90 60.90 60.00
Fractional positions:
Ag: 0.170 0.170 0.489
Ag: 0.335 0.335 0.995
Ag: 0.635 0.635 0.094
H: 0.418 0.018 0.242
H: 0.018 0.323 0.242
Cl: 0.758 0.429 0.750
Cl: 0.429 0.062 0.750
Cl: 0.062 0.758 0.750
H: 0.323 0.418 0.242

Calculated values
The calculation puts the density of states at the Fermi level at 3.86 states/eV/cell.


b:
Below is a relaxed AgHCl crystal, with properties calculated at the PBE-GGA level.

abc: 3.812 3.809 3.512
angles: 90.00 90.00 91.85
Fractional positions:
Ag: 0.091 0.772 0.000
H: 0.090 0.772 0.500
Cl: 0.590 0.272 0.000

Calculated values
The calculation puts the density of states at the Fermi level at 0.49 states/eV/cell.


c:
Below is a relaxed AgHCl crystal, with properties calculated at the PBE-GGA level.

abc: 4.418 4.414 7.879
angles: 87.29 90.00 120.03
Fractional positions:
Ag: 0.336 0.671 0.333
Cl: 0.672 0.343 0.295
H: 0.046 0.091 0.979
Cl: 0.328 0.657 0.705
Ag: 0.664 0.329 0.667
H: 0.954 0.909 0.021

Calculated values
The calculation puts the density of states at the Fermi level at 0.00 states/eV/cell.


Stability order, top to bottom: c, b, a


a:
Below is a relaxed AgH2Cl4 crystal, with properties calculated at the PBE-GGA level.

abc: 11.907 6.924 3.686
angles: 95.58 42.49 110.29
Fractional positions:
H: 0.770 0.411 0.768
Cl: 0.191 0.222 0.086
Ag: 0.000 0.000 0.000
H: 0.230 0.589 0.232
Cl: 0.724 0.254 0.621
Cl: 0.809 0.778 0.914
Cl: 0.276 0.746 0.379

Calculated values
The calculation puts the density of states at the Fermi level at 2.08 states/eV/cell.


b:
Below is a relaxed AgH2Cl4 crystal, with properties calculated at the PBE-GGA level.

abc: 4.872 4.872 10.760
angles: 76.92 76.92 90.00
Fractional positions:
Cl: 0.196 0.196 0.607
Cl: 0.000 0.500 0.000
Cl: 0.804 0.804 0.393
H: 0.260 0.260 0.481
Cl: 0.500 0.000 0.000
H: 0.740 0.740 0.519
Ag: 0.000 0.000 0.000

Calculated values
The calculation puts the density of states at the Fermi level at 3.18 states/eV/cell.


Stability order, top to bottom: a, b


a:
Below is a relaxed AgH4NCl3 crystal, with properties calculated at the PBE-GGA level.

abc: 4.490 6.946 9.848
angles: 89.58 87.15 92.21
Fractional positions:
Ag: 0.020 0.999 0.750
Cl: 0.739 0.284 0.785
Cl: 0.320 0.725 0.714
H: 0.386 0.411 0.999
H: 0.836 0.450 0.582
H: 0.728 0.441 0.419
H: 0.068 0.424 0.917
Cl: 0.311 0.726 0.283
Cl: 0.983 0.050 0.502
N: 0.179 0.470 0.002
N: 0.795 0.531 0.497
H: 0.985 0.608 0.460
Ag: 0.008 0.998 0.252
H: 0.199 0.619 0.002
H: 0.631 0.626 0.523
H: 0.056 0.421 0.088
Cl: 0.702 0.272 0.224
Cl: 0.055 0.944 0.001


b:
Below is a relaxed AgH4NCl3 crystal, with properties calculated at the PBE-GGA level.

abc: 5.165 5.076 5.167
angles: 90.05 90.00 90.00
Fractional positions:
H: 0.005 0.888 0.101
Cl: 0.004 0.539 0.437
N: 0.004 0.005 0.936
Cl: 0.504 0.469 0.937
H: 0.004 0.885 0.774
H: 0.168 0.124 0.935
Ag: 0.504 0.504 0.437
H: 0.841 0.124 0.936
Cl: 0.504 0.004 0.437

Calculated values
The calculation puts the density of states at the Fermi level at 2.19 states/eV/cell.


Stability order, top to bottom: b, a


a:
Below is a relaxed AgPHCl2 crystal, with properties calculated at the PBE-GGA level.

abc: 5.141 5.141 4.871
angles: 90.00 90.00 90.00
Fractional positions:
Cl: 0.500 0.000 0.000
H: 0.500 0.500 0.500
Ag: 0.000 0.000 0.000
Cl: 0.000 0.500 0.000
P: 0.000 0.000 0.500

Calculated values
The calculation puts the density of states at the Fermi level at 3.81 states/eV/cell.


b:
Below is a relaxed AgPHCl2 crystal, with properties calculated at the PBE-GGA level.

abc: 5.058 5.058 3.271
angles: 90.00 90.00 90.00
Fractional positions:
Cl: 0.500 0.000 0.000
Cl: 0.000 0.500 0.000
H: 0.000 0.000 0.000
Ag: 0.500 0.500 0.500
P: 0.000 0.000 0.500

Calculated values
The calculation puts the density of states at the Fermi level at 2.03 states/eV/cell.


Stability order, top to bottom: b, a


a:
Below is a relaxed AgHS2Cl crystal, with properties calculated at the PBE-GGA level.

abc: 3.665 3.665 7.311
angles: 90.00 90.00 90.00
Fractional positions:
S: 0.000 0.500 0.000
Ag: 0.500 0.500 0.500
Cl: 0.000 0.000 0.500
S: 0.500 0.000 0.000
H: 0.000 0.000 0.000

Calculated values
The calculation puts the density of states at the Fermi level at 1.15 states/eV/cell.


b:
Below is a relaxed AgHS2Cl crystal, with properties calculated at the PBE-GGA level.

abc: 4.933 4.933 5.194
angles: 90.00 90.00 90.00
Fractional positions:
S: 0.500 0.000 0.000
H: 0.500 0.500 0.500
Ag: 0.000 0.000 0.000
S: 0.000 0.500 0.000
Cl: 0.000 0.000 0.500

Calculated values
The calculation puts the density of states at the Fermi level at 2.12 states/eV/cell.


Stability order, top to bottom: a, b


a:
Below is a relaxed HfAgCl3 crystal, with properties calculated at the PBE-GGA level.

abc: 4.968 4.968 4.968
angles: 90.00 90.00 90.00
Fractional positions:
Hf: 0.000 0.000 0.000
Cl: 0.500 0.000 0.000
Ag: 0.500 0.500 0.500
Cl: 0.000 0.000 0.500
Cl: 0.000 0.500 0.000

Calculated values
The calculation puts the density of states at the Fermi level at 4.47 states/eV/cell.


b:
Below is a relaxed HfAgCl3 crystal, with properties calculated at the PBE-GGA level.

abc: 5.031 5.031 5.031
angles: 90.00 90.00 90.00
Fractional positions:
Cl: 0.000 0.000 0.500
Ag: 0.000 0.000 0.000
Cl: 0.500 0.000 0.000
Cl: 0.000 0.500 0.000
Hf: 0.500 0.500 0.500

Calculated values
The calculation puts the density of states at the Fermi level at 8.15 states/eV/cell.


Stability order, top to bottom: a, b